(1)
{"formula": "AsSe2IO", "functional": "PBE", "state": "relaxed", "formation_energy_uncorrected_mev_per_atom": 564, "de_polymorph_kj_per_mol_atoms": 0.0, "magmom_total_mub_per_fu": 0.0, "spacegroup": "P4/mmm, No. 123", "vol_a3_per_cell": 130, "lattice_angstrom": [[4.148, 0.000, 0.000], [0.000, 4.148, 0.000], [0.000, 0.000, 7.531]], "species": ["As", "Se", "Se", "I", "O"], "frac_coords": [[0.000, 0.000, 0.000], [0.000, 0.500, 0.500], [0.500, 0.000, 0.500], [0.500, 0.500, 0.000], [0.000, 0.000, 0.500]]}


(2)
{"formula": "Ti3Nb2Pd2", "functional": "PBE", "state": "relaxed", "magmom_total_mub_per_fu": 0.7, "spacegroup": "C2/m, No. 12", "vol_a3_per_cell": 233, "ef_ev_per_atom": -0.240, "lattice_angstrom": [[19.040, 0.000, 0.000], [0.000, 4.341, 0.000], [-0.399, 0.000, 2.821]], "species": ["Ti", "Ti", "Ti", "Ti", "Ti", "Ti", "Nb", "Nb", "Nb", "Nb", "Pd", "Pd", "Pd", "Pd"], "frac_coords": [[0.000, 0.000, 0.000], [0.139, 0.000, 0.911], [0.361, 0.500, 0.089], [0.500, 0.500, 0.000], [0.639, 0.500, 0.911], [0.861, 0.000, 0.089], [0.216, 0.500, 0.313], [0.284, 0.000, 0.687], [0.716, 0.000, 0.313], [0.784, 0.500, 0.687], [0.074, 0.500, 0.512], [0.426, 0.000, 0.488], [0.574, 0.000, 0.512], [0.926, 0.500, 0.488]]}


(3)
{"formula": "Os2W", "functional": "PBE", "state": "relaxed", "de_polymorph_kj_per_mol_atoms": 10.7, "magmom_total_mub_per_fu": 0.0, "spacegroup": "P-62m, No. 189", "vol_a3_per_cell": 136, "ef_ev_per_atom": 0.111, "lattice_angstrom": [[7.527, 0.000, 0.000], [-3.764, 6.519, 0.000], [0.000, 0.000, 2.766]], "species": ["Os", "Os", "Os", "Os", "Os", "Os", "W", "W", "W"], "frac_coords": [[0.000, 0.305, 0.000], [0.000, 0.638, 0.500], [0.305, 0.000, 0.000], [0.362, 0.362, 0.500], [0.638, 0.000, 0.500], [0.695, 0.695, 0.000], [0.000, 0.000, 0.500], [0.333, 0.667, 0.000], [0.667, 0.333, 0.000]]}


(4)
{"formula": "Ni4Bi", "functional": "PBE", "state": "relaxed", "magmom_total_mub_per_fu": 1.2, "spacegroup": "Pm-3m, No. 221", "vol_a3_per_cell": 105, "ef_ev_per_atom": 1.506, "lattice_angstrom": [[4.723, 0.000, 0.000], [0.000, 4.723, 0.000], [0.000, 0.000, 4.723]], "species": ["Ni", "Ni", "Ni", "Ni", "Bi"], "frac_coords": [[0.000, 0.000, 0.000], [0.000, 0.500, 0.500], [0.500, 0.000, 0.500], [0.500, 0.500, 0.000], [0.500, 0.500, 0.500]]}


(5)
{"formula": "TlSe3Br", "functional": "PBE", "state": "relaxed", "formation_energy_uncorrected_mev_per_atom": 734, "de_polymorph_kj_per_mol_atoms": 21.4, "magmom_total_mub_per_fu": 4.2, "spacegroup": "Pm-3m, No. 221", "vol_a3_per_cell": 172, "lattice_angstrom": [[5.560, 0.000, 0.000], [0.000, 5.560, 0.000], [0.000, 0.000, 5.560]], "species": ["Tl", "Se", "Se", "Se", "Br"], "frac_coords": [[0.000, 0.000, 0.000], [0.000, 0.000, 0.500], [0.000, 0.500, 0.000], [0.500, 0.000, 0.000], [0.500, 0.500, 0.500]]}


(6)
{"formula": "AgRhSe2", "functional": "PBE", "state": "relaxed", "formation_energy_uncorrected_mev_per_atom": 269, "magmom_total_mub_per_fu": 0.0, "spacegroup": "I-4m2, No. 119", "vol_a3_per_cell": 142, "lattice_angstrom": [[3.918, 0.000, 0.000], [0.000, 3.918, 0.000], [0.000, 0.000, 9.252]], "species": ["Ag", "Ag", "Rh", "Rh", "Se", "Se", "Se", "Se"], "frac_coords": [[0.000, 0.000, 0.000], [0.500, 0.500, 0.500], [0.000, 0.500, 0.750], [0.500, 0.000, 0.250], [0.000, 0.000, 0.500], [0.000, 0.500, 0.250], [0.500, 0.000, 0.750], [0.500, 0.500, 0.000]]}


(7)
{"formula": "AcLa8Ho5", "functional": "PBE", "state": "relaxed", "magmom_total_mub_per_fu": 0.0, "spacegroup": "P1, No. 1", "vol_a3_per_cell": 508, "ef_ev_per_atom": 0.171, "lattice_angstrom": [[8.726, 0.000, 0.000], [-4.036, 7.812, 0.000], [-1.228, -4.531, 7.456]], "species": ["Ac", "La", "La", "La", "La", "La", "La", "La", "La", "Ho", "Ho", "Ho", "Ho", "Ho"], "frac_coords": [[0.000, 0.000, 0.000], [0.053, 0.272, 0.787], [0.091, 0.712, 0.094], [0.198, 0.264, 0.474], [0.358, 0.787, 0.840], [0.461, 0.060, 0.599], [0.495, 0.288, 0.228], [0.621, 0.717, 0.626], [0.673, 0.973, 0.301], [0.278, 0.540, 0.261], [0.588, 0.524, 0.954], [0.798, 0.273, 0.065], [0.864, 0.487, 0.625], [0.933, 0.768, 0.421]]}


(8)
{"formula": "TbAl9Cu2", "functional": "PBE", "state": "relaxed", "magmom_total_mub_per_fu": 0.0, "spacegroup": "I4_1/amd, No. 141", "vol_a3_per_cell": 404, "ef_ev_per_atom": -0.161, "lattice_angstrom": [[-5.338, 5.338, 3.547], [5.338, -5.338, 3.547], [5.338, 5.338, -3.547]], "species": ["Tb", "Tb", "Al", "Al", "Al", "Al", "Al", "Al", "Al", "Al", "Al", "Al", "Al", "Al", "Al", "Al", "Al", "Al", "Al", "Al", "Cu", "Cu", "Cu", "Cu"], "frac_coords": [[0.375, 0.625, 0.750], [0.625, 0.375, 0.250], [0.125, 0.875, 0.250], [0.132, 0.559, 0.328], [0.132, 0.805, 0.573], [0.195, 0.269, 0.328], [0.195, 0.868, 0.927], [0.269, 0.195, 0.828], [0.269, 0.441, 0.073], [0.441, 0.269, 0.573], [0.441, 0.868, 0.172], [0.559, 0.132, 0.828], [0.559, 0.731, 0.427], [0.731, 0.559, 0.927], [0.731, 0.805, 0.172], [0.805, 0.132, 0.073], [0.805, 0.731, 0.672], [0.868, 0.195, 0.427], [0.868, 0.441, 0.672], [0.875, 0.125, 0.750], [0.000, 0.000, 0.000], [0.000, 0.000, 0.500], [0.000, 0.500, 0.000], [0.500, 0.000, 0.500]]}